[1]
Density functional theory data (PBE) for a relaxed structure of LiDyY2Tl4.

Spin magnetization, μB per cell: 0.00
Crystal system: trigonal
SG: R-3m
E_tot, eV/atom: -3.95

Cell lengths 5.240, 5.240, 9.329 Å; angles 73.69, 73.69, 60.00 degrees
Positions (direct):
Li  0.500  0.500  0.500
Dy  0.000  0.000  0.000
Y  0.755  0.755  0.736
Y  0.245  0.245  0.264
Tl  0.377  0.377  0.870
Tl  0.873  0.873  0.381
Tl  0.127  0.127  0.619
Tl  0.623  0.623  0.130



[2]
Density functional theory data (PBE) for a relaxed structure of NdBiPd.

Spin magnetization, μB per cell: 0.00
Crystal system: tetragonal
SG: I4mm
E_tot, eV/atom: -5.16

Cell lengths 3.630, 3.630, 6.371 Å; angles 106.55, 106.55, 90.00 degrees
Positions (direct):
Nd  0.021  0.021  0.043
Bi  0.313  0.313  0.626
Pd  0.666  0.666  0.331



[3]
Density functional theory data (PBE) for a relaxed structure of SrPmPb.

Excess energy over the best structure of this formula in the dataset, meV per atom: 0
Spin magnetization, μB per cell: 2.17
Crystal system: tetragonal
SG: P4/nmm
E_tot, eV/atom: -3.83

Cell lengths 4.993, 4.994, 8.842 Å; angles 90.00, 90.00, 90.00 degrees
Each line ends with the local moment (μB).
Positions (direct):
Sr  0.814  0.867  0.563  0.05
Sr  0.314  0.366  0.276  0.05
Pm  0.814  0.366  0.920  0.42
Pm  0.314  0.866  0.920  0.42
Pb  0.814  0.866  0.171  -0.01
Pb  0.314  0.367  0.668  -0.01



[4]
Density functional theory data (PBE) for a relaxed structure of YW3.

Excess energy over the best structure of this formula in the dataset, meV per atom: 366
Spin magnetization, μB per cell: 0.00
Crystal system: tetragonal
SG: I4/mmm
E_tot, eV/atom: -10.58

Cell lengths 9.978, 9.978, 9.978 Å; angles 156.16, 156.16, 33.97 degrees
Positions (direct):
Y  0.383  0.383  0.000
Y  0.617  0.617  0.000
W  0.500  0.000  0.500
W  0.165  0.165  0.000
W  0.835  0.835  0.000
W  0.750  0.250  0.500
W  0.250  0.750  0.500
W  0.000  0.500  0.500